# 1
Compound: Li6In3Hg
Source: Alexandria via LeMat-Bulk
Functional: PBE
Structure: optimized geometry

Properties
Symmetry: P2_1/m, No. 11
Volume (Å³/cell): 372.8
Excess energy over the best structure of this formula in the dataset (eV/atom): 0.000

Cell lengths 4.6950, 8.2173, 10.0342 Å; angles 105.64, 90.00, 90.00 degrees
Positions (direct):
In 0.2500 0.3533 0.8053
In 0.7500 0.6467 0.1947
Li 0.2500 0.0494 0.8972
Li 0.7500 0.9506 0.1028
Li 0.7500 0.1467 0.6894
In 0.7500 0.4582 0.5990
Li 0.7500 0.7645 0.4971
Li 0.2500 0.4480 0.1016
Hg 0.2500 0.9411 0.6100
Li 0.2500 0.1462 0.1982
In 0.2500 0.7567 0.0024
Li 0.2500 0.8533 0.3106
Li 0.7500 0.3453 0.2956
In 0.2500 0.5418 0.4010
Li 0.7500 0.5520 0.8984
Li 0.7500 0.8538 0.8018
Hg 0.7500 0.0589 0.3900
Li 0.2500 0.6547 0.7044
In 0.7500 0.2433 0.9976
Li 0.2500 0.2355 0.5029

---

# 2
Compound: LaAl3In
Source: Alexandria via LeMat-Bulk
Functional: PBE
Structure: optimized geometry

Properties
Symmetry: Pm-3m, No. 221
Volume (Å³/cell): 190.0
Excess energy over the best structure of this formula in the dataset (eV/atom): 0.668

Cell lengths 5.7484, 5.7484, 5.7484 Å; angles 90.00, 90.00, 90.00 degrees
Positions (direct):
In 0.5000 0.5000 0.5000
La 0.0000 0.0000 0.0000
Al 0.5000 0.0000 0.0000
Al 0.0000 0.0000 0.5000
Al 0.0000 0.5000 0.0000

---

# 3
Compound: CaHo3
Source: Alexandria via LeMat-Bulk
Functional: PBE
Structure: optimized geometry

Properties
Symmetry: Fm-3m, No. 225
E (eV per atom): -3.753
Volume (Å³/cell): 131.8

Cell lengths 5.7129, 5.7129, 5.7129 Å; angles 60.00, 60.00, 60.00 degrees
Positions (direct):
Ho 0.2500 0.2500 0.2500
Ca 0.5000 0.5000 0.5000
Ho 0.7500 0.7500 0.7500
Ho 0.0000 0.0000 0.0000

---

# 4
Compound: Hf2PaTi
Source: Alexandria via LeMat-Bulk
Functional: PBE
Structure: optimized geometry

Properties
Symmetry: Fm-3m, No. 225
Volume (Å³/cell): 85.7
Excess energy over the best structure of this formula in the dataset (eV/atom): 0.071

Cell lengths 4.9483, 4.9483, 4.9483 Å; angles 60.00, 60.00, 60.00 degrees
Positions (direct):
Hf 0.7500 0.7500 0.7500
Pa 0.5000 0.5000 0.5000
Hf 0.2500 0.2500 0.2500
Ti 0.0000 0.0000 0.0000

---

# 5
Compound: LaBeAsSe2
Source: Alexandria via LeMat-Bulk
Functional: PBE
Structure: optimized geometry

Properties
Symmetry: P4/mmm, No. 123
ΔE_f (raw) (meV per atom): -697
Volume (Å³/cell): 106.3
Excess energy over the best structure of this formula in the dataset (eV/atom): 0.000

Cell lengths 4.8989, 4.8989, 4.4310 Å; angles 90.00, 90.00, 90.00 degrees
Positions (direct):
Se 0.5000 0.0000 0.0000
As 0.0000 0.0000 0.5000
Se 0.0000 0.5000 0.0000
Be 0.0000 0.0000 0.0000
La 0.5000 0.5000 0.5000

---

# 6
Compound: ZrV2IrC
Source: Alexandria via LeMat-Bulk
Functional: PBE
Structure: optimized geometry

Properties
Symmetry: P4/mmm, No. 123
E (eV per atom): -6.831
Volume (Å³/cell): 88.6

Cell lengths 4.6556, 4.0860, 4.6556 Å; angles 90.00, 90.00, 90.00 degrees
Positions (direct):
V 0.0000 0.0000 0.5000
V 0.5000 0.0000 0.0000
Ir 0.5000 0.5000 0.5000
Zr 0.0000 0.0000 0.0000
C 0.0000 0.5000 0.0000

---

# 7
Compound: AlSi4HO10
Source: Alexandria via LeMat-Bulk
Functional: PBE
Structure: optimized geometry

Properties
Symmetry: P1, No. 1
E (eV per atom): -7.554
Volume (Å³/cell): 209.2

Cell lengths 5.9778, 5.0038, 7.6049 Å; angles 93.30, 112.83, 90.10 degrees
Positions (direct):
O 0.8146 0.6842 0.7172
Si 0.7402 0.9908 0.7346
O 0.2040 0.2957 0.2484
Si 0.0228 0.4794 0.7037
O 0.7514 0.4753 0.1034
O 0.5073 0.0686 0.5512
O 0.6630 0.0057 0.9272
O 0.1122 0.8063 0.3119
Al 0.5348 0.7311 0.0206
Si 0.3311 0.0125 0.3245
O 0.2916 0.5914 0.8286
O 0.9757 0.4211 0.4794
O 0.9674 0.1973 0.7815
H 0.6905 0.1946 0.0008
O 0.4805 0.9013 0.2025
Si 0.0132 0.4986 0.2877

---

# 8
Compound: Tm7TlHg2
Source: Alexandria via LeMat-Bulk
Functional: PBE
Structure: optimized geometry

Properties
Symmetry: P3m1, No. 156
E (eV per atom): -3.520
Volume (Å³/cell): 289.6

Cell lengths 5.1909, 5.1909, 12.4099 Å; angles 90.00, 90.00, 120.00 degrees
Positions (direct):
Tm 0.3333 0.6667 0.9709
Tm 0.6667 0.3333 0.8497
Tm 0.6667 0.3333 0.1186
Tm 0.3333 0.6667 0.4332
Tm 0.0000 0.0000 0.2786
Hg 0.3333 0.6667 0.7085
Tm 0.6667 0.3333 0.5848
Tm 0.0000 0.0000 0.7159
Hg 0.6667 0.3333 0.3517
Tl 0.0000 0.0000 0.0047